Record 1
A relaxed Sr5Pb crystal, computed with GGA-PBE.

Unit cell a=8.996 b=8.996 c=5.748 alpha=90.00 beta=90.00 gamma=144.74
Fractional coordinates of all 6 atoms:
Sr 0.000 0.000 0.000
Sr 0.148 0.852 0.500
Sr 0.340 0.660 0.000
Sr 0.660 0.340 0.000
Sr 0.852 0.148 0.500
Pb 0.500 0.500 0.500

## Properties
Symmetry   Cmmm
Polymorph energy (0 for the lowest one)   12 meV/atom

Record 2
A relaxed Sc2ReHg crystal, computed with GGA-PBE.

Unit cell a=9.864 b=9.864 c=9.864 alpha=18.23 beta=18.23 gamma=18.23
Fractional coordinates of all 4 atoms:
Sc 0.000 0.000 0.000
Sc 0.236 0.236 0.236
Re 0.737 0.737 0.737
Hg 0.484 0.484 0.484

## Properties
Symmetry   R3m

Record 3
A relaxed Ac6PrNd5 crystal, computed with GGA-PBE.

Unit cell a=10.149 b=10.149 c=10.149 alpha=148.52 beta=117.07 gamma=72.06
Fractional coordinates of all 12 atoms:
Ac 0.083 0.333 0.750
Ac 0.249 0.000 0.249
Ac 0.416 0.667 0.750
Ac 0.584 0.333 0.250
Ac 0.751 0.000 0.751
Ac 0.917 0.667 0.250
Pr 0.500 0.500 0.000
Nd 0.000 0.500 0.500
Nd 0.167 0.167 0.000
Nd 0.333 0.833 0.500
Nd 0.667 0.167 0.500
Nd 0.833 0.833 0.000

## Properties
Symmetry   Immm

Record 4
A relaxed YHo2MgTl4 crystal, computed with GGA-PBE.

Unit cell a=9.393 b=9.393 c=9.393 alpha=32.44 beta=32.44 gamma=32.44
Fractional coordinates of all 8 atoms:
Y 0.000 0.000 0.000
Ho 0.244 0.244 0.244
Ho 0.756 0.756 0.756
Mg 0.500 0.500 0.500
Tl 0.125 0.125 0.125
Tl 0.376 0.376 0.376
Tl 0.624 0.624 0.624
Tl 0.875 0.875 0.875

## Properties
Symmetry   R-3m

Record 5
A relaxed Al3TcAu crystal, computed with GGA-PBE.

Unit cell a=4.703 b=4.703 c=4.703 alpha=90.00 beta=90.00 gamma=90.00
Fractional coordinates of all 5 atoms:
Al 0.000 0.000 0.500
Al 0.000 0.500 0.000
Al 0.500 0.000 0.000
Tc 0.000 0.000 0.000
Au 0.500 0.500 0.500

## Properties
Symmetry   Pm-3m
Polymorph energy (0 for the lowest one)   0 meV/atom

Record 6
A relaxed Al5ZnO8 crystal, computed with GGA-PBE.

Unit cell a=5.806 b=5.806 c=5.806 alpha=60.00 beta=60.00 gamma=60.00
Fractional coordinates of all 14 atoms:
Al 0.000 0.000 0.000
Al 0.131 0.623 0.623
Al 0.623 0.131 0.623
Al 0.623 0.623 0.131
Al 0.623 0.623 0.623
Zn 0.250 0.250 0.250
O 0.390 0.390 0.390
O 0.390 0.390 0.829
O 0.390 0.829 0.390
O 0.406 0.865 0.865
O 0.829 0.390 0.390
O 0.865 0.406 0.865
O 0.865 0.865 0.406
O 0.865 0.865 0.865

## Properties
Symmetry   F-43m
Formation energy (no corrections)   -36.36 eV per formula unit

Record 7
A relaxed TbPaPdS4 crystal, computed with GGA-PBE.

Unit cell a=6.374 b=6.558 c=7.487 alpha=90.00 beta=106.02 gamma=90.00
Fractional coordinates of all 14 atoms:
Tb 0.203 0.250 0.043
Tb 0.797 0.750 0.957
Pa 0.225 0.250 0.552
Pa 0.775 0.750 0.448
Pd 0.240 0.750 0.335
Pd 0.760 0.250 0.665
S 0.026 0.517 0.749
S 0.026 0.983 0.749
S 0.480 0.750 0.128
S 0.485 0.750 0.635
S 0.515 0.250 0.365
S 0.520 0.250 0.872
S 0.974 0.017 0.251
S 0.974 0.483 0.251

## Properties
Symmetry   P2_1/m
Formation energy (no corrections)   -9.80 eV per formula unit

Record 8
A relaxed CrBiIN2 crystal, computed with GGA-PBE.

Unit cell a=4.087 b=4.087 c=5.223 alpha=90.00 beta=90.00 gamma=90.00
Fractional coordinates of all 5 atoms:
Cr 0.000 0.000 0.000
Bi 0.500 0.500 0.500
I 0.000 0.000 0.500
N 0.000 0.500 0.000
N 0.500 0.000 0.000

## Properties
Symmetry   P4/mmm
Polymorph energy (0 for the lowest one)   0 meV/atom
Formation energy (no corrections)   5.78 eV per formula unit

Record 9
A relaxed Mn2AgPb crystal, computed with GGA-PBE.

Unit cell a=4.908 b=4.908 c=3.225 alpha=90.11 beta=90.11 gamma=75.24
Fractional coordinates of all 4 atoms:
Mn 0.000 0.500 0.000
Mn 0.500 0.000 0.000
Ag 0.000 0.000 0.500
Pb 0.500 0.500 0.500

## Properties
Symmetry   C2/m

Record 10
A relaxed CuSbF crystal, computed with GGA-PBE.

Unit cell a=4.681 b=4.491 c=5.558 alpha=90.00 beta=102.03 gamma=90.00
Fractional coordinates of all 6 atoms:
Cu 0.108 0.250 0.444
Cu 0.892 0.750 0.556
Sb 0.331 0.750 0.314
Sb 0.669 0.250 0.686
F 0.198 0.750 0.932
F 0.802 0.250 0.068

## Properties
Symmetry   P2_1/m
Formation energy (no corrections)   -2.26 eV per formula unit

Record 11
A relaxed Tm3CdCo crystal, computed with GGA-PBE.

Unit cell a=6.902 b=4.644 c=8.138 alpha=90.00 beta=110.93 gamma=90.00
Fractional coordinates of all 10 atoms:
Tm 0.061 0.250 0.269
Tm 0.300 0.250 0.919
Tm 0.339 0.750 0.595
Tm 0.661 0.250 0.405
Tm 0.700 0.750 0.081
Tm 0.939 0.750 0.731
Cd 0.297 0.750 0.180
Cd 0.703 0.250 0.820
Co 0.074 0.250 0.595
Co 0.926 0.750 0.405

## Properties
Symmetry   P2_1/m
Polymorph energy (0 for the lowest one)   23 meV/atom

Record 12
A relaxed BaGe3Pd6 crystal, computed with GGA-PBE.

Unit cell a=7.145 b=7.145 c=7.145 alpha=47.96 beta=47.96 gamma=47.96
Fractional coordinates of all 10 atoms:
Ba 0.000 0.000 0.000
Ge 0.289 0.289 0.289
Ge 0.626 0.626 0.626
Ge 0.831 0.831 0.831
Pd 0.068 0.567 0.554
Pd 0.304 0.420 0.856
Pd 0.420 0.856 0.304
Pd 0.554 0.068 0.567
Pd 0.567 0.554 0.068
Pd 0.856 0.304 0.420

## Properties
Symmetry   R3

no.,total energy (eV per atom)
1,-2.1963
2,-6.0513
3,-4.4153
4,-3.6227
5,-4.6490
6,-6.8580
7,-6.5177
8,-5.1845
9,-5.7864
10,-4.1174
11,-4.4928
12,-5.1846